The following is a PBE calculation of a geometry-optimized Th3InCu4 structure, from Alexandria.

Cell lengths 3.6997, 6.3999, 8.6144 Å; angles 111.81, 102.40, 90.00 degrees
Fractional coordinates of all 8 atoms:
Cu 0.3731 0.5682 0.7462
Cu 0.6269 0.4318 0.2538
Cu 0.3731 0.1780 0.7462
Cu 0.6269 0.8220 0.2538
In 0.5000 0.0000 0.0000
Th 0.2021 0.2021 0.4042
Th 0.0000 0.5000 0.0000
Th 0.7979 0.7979 0.5958

## Properties
- uncorrected energy (eV per cell) = -41.78
- E_form (meV per atom) = -49